First-principles (PBE-GGA) data for LaMg2Ir after structural relaxation, as listed in Alexandria.

The structure belongs to space group C2/m (No. 12); the cell edges are 5.828, 11.265 and 3.255 Å and the angles 90.00°, 121.46° and 90.00°. The asymmetric unit holds La at (0.000, 0.000, 0.000), Mg at (0.250, 0.250, 0.500) and Ir at (0.000, 0.500, 0.000).

The calculation puts the total energy at -34.1 eV for the cell shown. The magnetic moment comes out at 0.00 μB per atom. The value obtained for the mass density is 6.917 Mg/m³.

---

First-principles (PBE-GGA) data for Er5TmIn2Pb after structural relaxation, as listed in Alexandria.

The structure belongs to space group I4/mcm (No. 140); the cell edges are 8.473, 8.473 and 14.286 Å and the angles 90.00°, 90.00° and 90.00°. The asymmetric unit holds Er at (0.000, 0.000, 0.000), Er at (0.209, 0.291, 0.133), Tm at (0.000, 0.500, 0.250), In at (0.111, 0.389, 0.500) and Pb at (0.000, 0.000, 0.250).

The calculation puts the total energy at -147.9 eV for the cell shown. The magnetic moment comes out at 0.00 μB per atom. The value obtained for the mass density is 9.340 Mg/m³.

---

First-principles (PBE-GGA) data for Na2Te2Pd after structural relaxation, as listed in Alexandria.

The structure belongs to space group Immm (No. 71); the cell edges are 4.025, 7.294 and 9.444 Å and the angles 90.00°, 90.00° and 90.00°. The asymmetric unit holds Na at (0.000, 0.000, 0.212), Te at (0.000, 0.242, 0.500) and Pd at (0.000, 0.500, 0.000).

The calculation puts the total energy at -35.0 eV for the cell shown. The magnetic moment comes out at 0.00 μB per atom. The value obtained for the mass density is 4.882 Mg/m³.

---

First-principles (PBE-GGA) data for TbPm2Dy after structural relaxation, as listed in Alexandria.

The structure belongs to space group Fm-3m (No. 225); the cell edges are 8.102, 8.102 and 8.102 Å and the angles 90.00°, 90.00° and 90.00°. The asymmetric unit holds Tb at (0.000, 0.000, 0.000), Pm at (0.250, 0.250, 0.250) and Dy at (0.000, 0.000, 0.500).

The calculation puts the total energy at -72.9 eV for the cell shown. The magnetic moment comes out at 0.00 μB per atom. The value obtained for the mass density is 7.636 Mg/m³.